Record 1
Ce2Tm2Th7: optimized geometry, PBE.

Lattice parameters (Å, degrees): 7.0367 7.0367 9.5202 114.02 114.02 57.91
With the nearest neighbours (Å) after each atom.
Positions (direct):
Ce 0.1981 0.8019 0.0000  1 Ce 2.70
Ce 0.8019 0.1981 0.0000  1 Ce 2.70
Tm 0.2955 0.2955 0.0550  4 Ce 3.47-3.68, 6 Th 3.50-3.79, 2 Tm 3.59
Tm 0.7045 0.7045 0.9450  4 Ce 3.47-3.68, 6 Th 3.50-3.79, 2 Tm 3.59
Th 0.0144 0.0144 0.6747  5 Th 3.18-3.54, 2 Ce 3.46
Th 0.0372 0.5026 0.6800  1 Ce 3.08, 2 Th 3.17-3.24
Th 0.4974 0.9628 0.3200  1 Ce 3.08, 2 Th 3.17-3.24
Th 0.5000 0.5000 0.5000  8 Th 3.46-3.76, 2 Tm 3.79
Th 0.5026 0.0372 0.6800  1 Ce 3.08, 2 Th 3.17-3.24
Th 0.9628 0.4974 0.3200  1 Ce 3.08, 2 Th 3.17-3.24
Th 0.9856 0.9856 0.3253  5 Th 3.18-3.54, 2 Ce 3.46

Energy relative to the elements   22 kJ/mol of atoms
V   354 Å³ per cell
Raw total energy   -0.2348 Ha/atom

=====

Record 2
Sm5GeTe3: optimized geometry, PBE.

Lattice parameters (Å, degrees): 9.4017 9.4017 6.3967 90.00 90.00 120.00
With the nearest neighbours (Å) after each atom.
Positions (direct):
Sm 0.0000 0.2623 0.2500  2 Ge 2.94, 3 Te 3.25
Sm 0.0000 0.7377 0.7500  2 Ge 2.94, 3 Te 3.25
Sm 0.2623 0.0000 0.2500  2 Ge 2.94, 3 Te 3.25
Sm 0.2623 0.2623 0.7500  2 Ge 2.94, 3 Te 3.25
Sm 0.3333 0.6667 0.0000  2 Sm 3.20, 6 Te 3.31
Sm 0.3333 0.6667 0.5000  2 Sm 3.20, 6 Te 3.31
Sm 0.6667 0.3333 0.0000  2 Sm 3.20, 6 Te 3.31
Sm 0.6667 0.3333 0.5000  2 Sm 3.20, 6 Te 3.31
Sm 0.7377 0.0000 0.7500  2 Ge 2.94, 3 Te 3.25
Sm 0.7377 0.7377 0.2500  2 Ge 2.94, 3 Te 3.25
Ge 0.0000 0.0000 0.0000  6 Sm 2.94, 2 Ge 3.20
Ge 0.0000 0.0000 0.5000  6 Sm 2.94, 2 Ge 3.20
Te 0.0000 0.3916 0.7500  9 Sm 3.25-3.42
Te 0.0000 0.6084 0.2500  9 Sm 3.25-3.42
Te 0.3916 0.0000 0.7500  9 Sm 3.25-3.42
Te 0.3916 0.3916 0.2500  9 Sm 3.25-3.42
Te 0.6084 0.0000 0.2500  9 Sm 3.25-3.42
Te 0.6084 0.6084 0.7500  9 Sm 3.25-3.42

V   490 Å³ per cell
Uncorrected formation energy   -1.1128 eV/atom
Raw total energy   -0.1946 Ha/atom

=====

Record 3
ErLuBeGa: optimized geometry, PBE.

Lattice parameters (Å, degrees): 4.8591 4.8591 4.8591 60.00 60.00 60.00
With the nearest neighbours (Å) after each atom.
Positions (direct):
Er 0.0000 0.0000 0.0000  4 Be 2.98, 4 Ga 2.98
Lu 0.5000 0.5000 0.5000  4 Be 2.98, 4 Ga 2.98
Be 0.7500 0.7500 0.7500  4 Er 2.98, 4 Lu 2.98
Ga 0.2500 0.2500 0.2500  4 Er 2.98, 4 Lu 2.98

Energy relative to the elements   -24 kJ/mol of atoms
V   81 Å³ per cell
Raw total energy   -0.1547 Ha/atom

=====

- Which formula does entry 3 have?
  ErLuBeGa

=====

- Among the records above, which one has the lowest V?
  ErLuBeGa

=====

- The lowest V belongs to which entry?
  ErLuBeGa